Below is a geometry-optimized KRu2 structure, with properties calculated at the GGA-PBE level.

Properties
energy of formation from the pure elements	2.20	eV per formula unit
raw total energy	-5.816	eV/atom

Cell and atoms, written as POSCAR:
```
KRu2
1.0
6.633 0.013 0.003
4.950 4.415 -0.003
-5.519 -2.928 2.229
Ru K
2 1
Cartesian
3.320 1.269 0.000
8.263 3.159 0.000
0.000 0.000 0.000
```

Below is a geometry-optimized La2CuSi structure, with properties calculated at the GGA-PBE level.

Properties
raw total energy	-5.187	eV/atom

Cell and atoms, written as POSCAR:
```
La2CuSi
1.0
3.887 0.000 0.000
0.000 3.503 -0.015
0.000 3.524 7.305
Si Cu La
1 1 2
Cartesian
1.943 1.757 1.822
1.943 5.270 5.467
0.000 3.516 3.588
0.000 3.501 0.042
```

Below is a geometry-optimized PaIn5Au structure, with properties calculated at the GGA-PBE level.

Properties
energy of formation from the pure elements	-0.94	eV per formula unit
raw total energy	-3.915	eV/atom

Cell and atoms, written as POSCAR:
```
PaIn5Au
1.0
-3.391 1.047 -3.221
-1.084 -4.654 -0.371
-5.049 0.733 5.554
In Au Pa
5 1 1
Cartesian
-4.139 -1.804 3.772
-2.238 -1.804 -1.796
-5.293 1.046 2.347
-3.147 0.734 -0.013
-1.994 -2.116 1.412
-2.524 0.367 2.777
0.000 0.000 0.000
```

Below is a geometry-optimized BaSnBi3 structure, with properties calculated at the GGA-PBE level.

Properties
energy of formation from the pure elements	0.12	eV per formula unit
raw total energy	-3.490	eV/atom
E above lowest polymorph	1.52	eV/f.u.

Cell and atoms, written as POSCAR:
```
BaSnBi3
1.0
-4.289 -3.946 -0.905
2.237 -1.212 -5.320
3.374 -4.212 2.378
Ba Bi Sn
1 3 1
Cartesian
0.661 -4.685 -1.924
-2.144 -1.973 -0.452
1.119 -0.606 -2.660
1.687 -2.106 1.189
0.000 0.000 0.000
```

Below is a geometry-optimized NaCd2In3Hg6 structure, with properties calculated at the GGA-PBE level.

Properties
energy of formation from the pure elements	-0.49	eV per formula unit
raw total energy	-1.139	eV/atom

Cell and atoms, written as POSCAR:
```
NaCd2In3Hg6
1.0
3.510 0.000 0.000
0.000 10.256 -1.528
-1.755 -4.886 9.369
Hg In Cd Na
6 3 2 1
Cartesian
1.755 2.834 8.143
0.000 2.536 -0.302
1.755 -0.741 3.060
1.755 4.283 2.221
0.000 6.111 4.782
0.000 1.087 5.621
1.755 -1.540 6.068
0.000 6.910 1.774
1.755 5.128 -0.764
0.000 1.757 2.653
1.755 3.613 5.188
1.755 0.000 0.000
```

Below is a geometry-optimized RbCrAg2Mo structure, with properties calculated at the GGA-PBE level.

Properties
energy of formation from the pure elements	12.83	eV per formula unit
raw total energy	-2.859	eV/atom
E above lowest polymorph	7.12	eV/f.u.

Cell and atoms, written as POSCAR:
```
RbCrAg2Mo
1.0
5.338 0.000 0.000
0.000 5.014 0.000
0.000 0.000 5.338
Rb Ag Cr Mo
1 2 1 1
Cartesian
0.000 0.000 0.000
2.669 0.000 0.000
0.000 0.000 2.669
2.669 2.507 2.669
0.000 2.507 0.000
```

Below is a geometry-optimized Ac12La5Pr2 structure, with properties calculated at the GGA-PBE level.

Properties
energy of formation from the pure elements	2.11	eV per formula unit
raw total energy	-4.284	eV/atom
E above lowest polymorph	0.34	eV/f.u.

Cell and atoms, written as POSCAR:
```
Ac12La5Pr2
1.0
11.467 0.000 0.000
-5.733 7.939 1.649
0.000 -1.216 8.692
Ac La Pr
12 5 2
Cartesian
3.132 0.939 5.703
3.154 4.044 7.950
-2.602 5.783 4.638
0.000 0.930 8.208
8.335 0.939 5.703
5.733 0.543 2.707
2.579 2.679 2.392
5.733 5.792 2.134
8.888 2.679 2.392
2.602 5.783 4.638
0.000 6.179 7.635
-3.154 4.044 7.950
0.000 3.189 5.228
5.733 1.360 8.372
0.000 -0.608 4.346
5.733 3.533 5.114
0.000 5.362 1.970
8.286 0.000 0.000
3.181 0.000 0.000
```

Below is a geometry-optimized RbLaNb2Ga structure, with properties calculated at the GGA-PBE level.

Properties
energy of formation from the pure elements	5.39	eV per formula unit
raw total energy	-4.735	eV/atom
E above lowest polymorph	0.00	eV/f.u.

Cell and atoms, written as POSCAR:
```
RbLaNb2Ga
1.0
5.043 0.000 0.000
0.000 5.895 0.000
0.000 0.000 5.043
Rb La Nb Ga
1 1 2 1
Cartesian
2.522 2.947 2.522
0.000 2.947 0.000
0.000 0.000 2.522
2.522 0.000 0.000
0.000 0.000 0.000
```

Below is a geometry-optimized Sm3P4Pd4 structure, with properties calculated at the GGA-PBE level.

Properties
energy of formation from the pure elements	-11.94	eV per formula unit
raw total energy	-6.228	eV/atom

Cell and atoms, written as POSCAR:
```
Sm3P4Pd4
1.0
-4.072 -0.765 -0.251
0.075 -2.532 6.498
0.668 7.924 -0.663
P Pd Sm
4 4 3
Cartesian
-1.976 -2.442 5.161
-0.538 1.444 4.312
-2.793 3.183 1.272
-2.022 -0.854 1.085
-0.866 3.652 2.914
-2.434 -0.027 5.242
-0.896 4.654 0.342
-2.464 0.975 2.669
0.037 -1.266 3.249
-0.341 1.607 0.630
-2.989 3.021 4.954
```

Below is a geometry-optimized VIn3C structure, with properties calculated at the GGA-PBE level.

Properties
energy of formation from the pure elements	5.56	eV per formula unit
raw total energy	-4.199	eV/atom
E above lowest polymorph	0.00	eV/f.u.

Cell and atoms, written as POSCAR:
```
VIn3C
1.0
4.716 0.000 0.000
0.000 4.716 0.000
0.000 0.000 4.716
C In V
1 3 1
Cartesian
0.000 0.000 0.000
0.000 0.000 2.358
0.000 2.358 0.000
2.358 0.000 0.000
2.358 2.358 2.358
```

Below is a geometry-optimized CaCo2Os2 structure, with properties calculated at the GGA-PBE level.

Properties
energy of formation from the pure elements	1.54	eV per formula unit
raw total energy	-7.427	eV/atom
E above lowest polymorph	0.00	eV/f.u.

Cell and atoms, written as POSCAR:
```
CaCo2Os2
1.0
-5.699 1.433 -4.640
1.682 -6.129 -3.959
-1.583 -1.409 1.509
Co Os Ca
4 4 2
Cartesian
-3.317 0.170 -3.322
-3.998 -2.512 -6.540
-0.019 -2.184 -2.059
-0.699 -4.865 -5.277
-2.337 -1.323 -1.446
-3.262 -4.781 -5.645
-0.660 -4.598 -2.743
-4.940 -1.506 -4.347
0.000 0.000 0.000
-2.008 -2.348 -4.300
```

Below is a geometry-optimized P2PtAu structure, with properties calculated at the GGA-PBE level.

Properties
energy of formation from the pure elements	0.96	eV per formula unit
raw total energy	-4.793	eV/atom
E above lowest polymorph	1.75	eV/f.u.

Cell and atoms, written as POSCAR:
```
P2PtAu
1.0
-3.007 0.044 -0.287
0.276 -0.441 -2.975
-0.198 -6.963 1.014
P Au Pt
2 1 1
Cartesian
-0.094 -3.310 0.482
-0.005 -0.172 0.025
-1.514 -5.421 -0.871
-1.415 -1.939 -1.378
```

Below is a geometry-optimized AlInFe2 structure, with properties calculated at the GGA-PBE level.

Properties
energy of formation from the pure elements	0.51	eV per formula unit
raw total energy	-5.724	eV/atom

Cell and atoms, written as POSCAR:
```
AlInFe2
1.0
0.000 3.016 3.016
3.016 0.000 3.016
3.016 3.016 0.000
Al Fe In
1 2 1
Cartesian
0.000 0.000 0.000
4.524 4.524 4.524
1.508 1.508 1.508
3.016 3.016 3.016
```

Below is a geometry-optimized LaCe2Zn structure, with properties calculated at the GGA-PBE level.

Properties
energy of formation from the pure elements	0.03	eV per formula unit
raw total energy	-4.511	eV/atom
E above lowest polymorph	0.14	eV/f.u.

Cell and atoms, written as POSCAR:
```
LaCe2Zn
1.0
4.963 0.000 0.000
0.000 4.652 0.000
0.000 0.000 4.652
Ce Zn La
2 1 1
Cartesian
0.000 2.326 0.000
0.000 0.000 2.326
2.481 0.000 0.000
2.481 2.326 2.326
```

Below is a geometry-optimized PmGa3CoPd structure, with properties calculated at the GGA-PBE level.

Properties
energy of formation from the pure elements	-2.16	eV per formula unit
raw total energy	-4.715	eV/atom

Cell and atoms, written as POSCAR:
```
PmGa3CoPd
1.0
-0.195 4.245 4.005
2.432 -4.897 5.309
3.867 3.748 -3.784
Ga Pd Co Pm
6 2 2 2
Cartesian
2.279 1.656 0.484
0.486 0.947 3.276
1.751 -1.599 6.037
3.825 1.439 5.046
0.584 -1.175 1.274
1.848 -3.722 4.035
4.550 2.237 -0.021
1.554 0.859 5.550
0.169 1.117 0.953
5.935 1.979 4.577
2.394 3.833 2.439
3.710 -0.737 3.091
```

Below is a geometry-optimized MgCu2Ru structure, with properties calculated at the GGA-PBE level.

Properties
energy of formation from the pure elements	0.48	eV per formula unit
raw total energy	-4.645	eV/atom

Cell and atoms, written as POSCAR:
```
MgCu2Ru
1.0
4.710 0.031 0.000
1.676 4.401 0.000
-3.193 -2.216 2.660
Mg Cu Ru
1 2 1
Cartesian
3.193 2.216 0.000
0.838 2.201 1.330
0.000 0.000 0.000
2.355 0.015 1.330
```

Below is a geometry-optimized CeY5Sb6 structure, with properties calculated at the GGA-PBE level.

Properties
raw total energy	-6.397	eV/atom

Cell and atoms, written as POSCAR:
```
CeY5Sb6
1.0
-0.017 -2.718 -7.142
7.177 -0.490 -2.556
4.003 -6.416 1.070
Sb Y Ce
6 5 1
Cartesian
9.229 -5.397 -3.431
1.934 -4.227 -5.197
5.504 -3.123 -2.925
5.659 -6.501 -5.703
5.354 -2.403 -7.264
1.806 -0.804 -2.433
3.580 -1.604 -4.849
3.858 -5.732 -3.278
7.306 -3.891 -5.350
3.727 -2.305 -0.494
7.454 -4.601 -0.992
0.000 0.000 0.000
```

Below is a geometry-optimized Na3Nd2TiSe6 structure, with properties calculated at the GGA-PBE level.

Properties
raw total energy	-4.989	eV/atom

Cell and atoms, written as POSCAR:
```
Na3Nd2TiSe6
1.0
7.149 0.004 -0.001
-3.569 6.194 -0.001
-1.195 -2.069 7.017
Se Nd Ti Na
6 2 1 3
Cartesian
-0.111 -0.192 5.449
2.199 0.008 1.610
2.496 4.321 1.567
0.186 4.121 5.406
3.477 2.221 5.406
-1.092 1.909 1.610
-0.006 4.137 -0.001
3.586 2.062 -0.001
0.000 0.000 0.000
4.729 0.022 3.508
1.192 2.065 3.508
-2.344 4.107 3.508
```

Below is a geometry-optimized Co3Sb structure, with properties calculated at the GGA-PBE level.

Properties
raw total energy	-6.019	eV/atom

Cell and atoms, written as POSCAR:
```
Co3Sb
1.0
-1.142 3.368 2.384
-2.156 -1.533 1.133
2.545 -1.515 3.360
Co Sb
3 1
Cartesian
0.289 -1.542 2.317
2.452 -1.496 3.288
-0.279 -0.602 4.561
-0.474 0.922 2.315
```

Below is a geometry-optimized Li5Ca2Cd5 structure, with properties calculated at the GGA-PBE level.

Properties
energy of formation from the pure elements	-2.93	eV per formula unit
raw total energy	-1.756	eV/atom

Cell and atoms, written as POSCAR:
```
Li5Ca2Cd5
1.0
4.750 0.000 0.000
0.000 5.683 0.000
0.000 0.000 10.083
Ca Cd Li
2 5 5
Cartesian
0.000 0.000 5.042
0.000 2.841 0.000
2.375 0.000 0.000
0.000 2.841 3.361
0.000 0.000 1.806
0.000 2.841 6.722
0.000 0.000 8.277
2.375 2.841 5.042
2.375 4.254 2.502
2.375 4.254 7.582
2.375 1.429 2.502
2.375 1.429 7.582
```

Below is a geometry-optimized CaPr4Sn4 structure, with properties calculated at the GGA-PBE level.

Properties
energy of formation from the pure elements	-4.53	eV per formula unit
raw total energy	-4.629	eV/atom

Cell and atoms, written as POSCAR:
```
CaPr4Sn4
1.0
6.473 0.000 0.000
0.000 9.878 0.000
0.000 0.000 9.878
Sn Pr Ca
8 8 2
Cartesian
4.081 2.259 6.176
5.629 2.680 8.640
0.844 8.640 7.198
0.844 1.238 2.680
5.629 7.198 1.238
2.392 3.701 2.259
2.392 6.176 7.619
4.081 7.619 3.701
0.838 1.754 5.859
4.074 0.920 3.185
2.399 6.693 0.920
5.635 5.859 8.124
5.635 4.018 1.754
2.399 3.185 8.957
4.074 8.957 6.693
0.838 8.124 4.018
3.236 4.939 4.939
0.000 0.000 0.000
```

Below is a geometry-optimized Na2SrHf structure, with properties calculated at the GGA-PBE level.

Properties
energy of formation from the pure elements	3.14	eV per formula unit
raw total energy	-2.783	eV/atom
E above lowest polymorph	0.00	eV/f.u.

Cell and atoms, written as POSCAR:
```
Na2SrHf
1.0
0.000 4.044 4.044
4.044 0.000 4.044
4.044 4.044 0.000
Sr Na Hf
1 2 1
Cartesian
0.000 0.000 0.000
6.067 6.067 6.067
2.022 2.022 2.022
4.044 4.044 4.044
```

Below is a geometry-optimized CdPbCl2 structure, with properties calculated at the GGA-PBE level.

Properties
raw total energy	-2.779	eV/atom
E above lowest polymorph	0.00	eV/f.u.

Cell and atoms, written as POSCAR:
```
CdPbCl2
1.0
-0.034 3.193 2.268
2.295 -2.694 3.828
6.594 -0.236 0.433
Pb Cd Cl
1 1 2
Cartesian
4.515 -1.670 2.420
6.926 -0.325 3.945
8.112 -2.893 4.196
2.634 0.755 2.360
```

Below is a geometry-optimized Dy3IrRh structure, with properties calculated at the GGA-PBE level.

Properties
energy of formation from the pure elements	-3.41	eV per formula unit
raw total energy	-6.686	eV/atom
E above lowest polymorph	0.04	eV/f.u.

Cell and atoms, written as POSCAR:
```
Dy3IrRh
1.0
-0.358 -0.359 3.997
6.826 -0.042 0.607
-0.016 8.750 0.783
Rh Dy Ir
2 6 2
Cartesian
-0.010 5.336 0.478
3.228 3.214 2.608
1.616 5.678 2.684
3.233 0.249 2.342
-0.016 8.301 0.743
1.602 2.872 0.401
5.214 2.850 0.722
4.830 5.659 2.970
-0.182 1.262 2.127
3.400 7.289 0.958
```

Below is a geometry-optimized PtI2N structure, with properties calculated at the GGA-PBE level.

Properties
raw total energy	-2.650	eV/atom
E above lowest polymorph	2.04	eV/f.u.

Cell and atoms, written as POSCAR:
```
PtI2N
1.0
-3.242 1.939 2.958
-2.478 3.875 -1.365
-4.680 -0.372 -0.993
N I Pt
1 2 1
Cartesian
0.000 0.000 0.000
-2.600 1.361 0.150
-7.800 4.082 0.450
-5.200 2.721 0.300
```